VASP calculation (PBE) on a relaxed Ag2SbMo crystal.

POSCAR file:
```
Ag2SbMo
1.0
-2.812 3.326 2.401
-2.397 1.058 4.228
4.015 2.752 2.504
Sb Ag Mo
1 2 1
direct
0.758 0.758 0.713
0.244 0.244 0.233
0.993 0.993 0.033
0.505 0.505 0.521
```

Properties
Raw formation energy = 164 kJ/mol of formula units
Space group = Cm

---

VASP calculation (PBE) on a relaxed BAsP2Cl crystal.

POSCAR file:
```
BAsP2Cl
1.0
-3.731 -0.958 1.936
-0.621 -3.224 -2.793
1.974 -2.573 2.531
B As P Cl
1 1 2 1
direct
0.000 0.000 0.000
0.500 0.500 0.500
0.000 0.500 0.000
0.500 0.000 0.000
0.000 0.000 0.500
```

Properties
Raw formation energy = 405 kJ/mol of formula units
Excess energy over the best structure of this formula in the dataset = 938 meV per atom
Space group = P4/mmm

---

VASP calculation (PBE) on a relaxed TmPuOsPd crystal.

POSCAR file:
```
TmPuOsPd
1.0
4.842 0.000 0.000
2.421 4.193 0.000
2.421 1.398 3.953
Os Pd Pu Tm
1 1 1 1
direct
0.500 0.500 0.500
0.000 0.000 0.000
0.250 0.250 0.250
0.750 0.750 0.750
```

Properties
Formation energy = -0.367 eV/atom
Space group = F-43m

---

VASP calculation (PBE) on a relaxed ZrSc3S4 crystal.

POSCAR file:
```
ZrSc3S4
1.0
6.387 0.053 0.000
-2.188 6.035 0.000
0.000 0.000 7.392
S Sc Zr
8 6 2
direct
0.004 0.259 0.130
0.499 0.248 0.377
0.496 0.741 0.130
0.001 0.752 0.377
0.501 0.752 0.623
0.999 0.248 0.623
0.504 0.259 0.870
0.996 0.741 0.870
0.750 0.500 0.628
0.750 0.500 0.117
0.250 0.500 0.883
0.250 0.500 0.372
0.750 0.000 0.360
0.250 0.000 0.640
0.750 0.000 0.891
0.250 0.000 0.109
```

Properties
Raw formation energy = -1348 kJ/mol of formula units
Space group = P2/c

---

VASP calculation (PBE) on a relaxed MnTe2Au crystal.

POSCAR file:
```
MnTe2Au
1.0
5.112 -0.007 0.104
-1.331 4.936 0.104
1.615 2.105 4.127
Te Au Mn
2 1 1
direct
0.000 0.000 0.000
0.500 0.500 0.000
0.500 0.000 0.500
0.000 0.500 0.500
```

Properties
Raw formation energy = 50 kJ/mol of formula units
Excess energy over the best structure of this formula in the dataset = 220 meV per atom
Space group = C2/m

---

VASP calculation (PBE) on a relaxed Sr2Ga4Ge3Au crystal.

POSCAR file:
```
Sr2Ga4Ge3Au
1.0
4.673 0.000 0.000
0.000 4.673 0.000
0.000 0.000 10.296
Ge Ga Sr Au
3 4 2 1
direct
0.500 0.000 0.873
0.000 0.500 0.127
0.000 0.000 0.500
0.000 0.000 0.000
0.500 0.500 0.000
0.500 0.000 0.623
0.000 0.500 0.377
0.500 0.000 0.257
0.000 0.500 0.743
0.500 0.500 0.500
```

Properties
Formation energy = -0.399 eV/atom
Space group = P-4m2

---

VASP calculation (PBE) on a relaxed Rb2BaTaSe4 crystal.

POSCAR file:
```
Rb2BaTaSe4
1.0
-2.244 -6.954 -1.676
2.997 0.732 6.833
-5.548 5.019 0.478
Ta Rb Ba Se
1 2 1 4
direct
0.000 0.500 0.500
0.000 0.000 0.000
0.500 0.750 0.250
0.500 0.250 0.750
0.017 0.206 0.601
0.983 0.584 0.189
0.605 0.399 0.416
0.395 0.811 0.794
```

Properties
Raw formation energy = -849 kJ/mol of formula units
Space group = I-4

---

VASP calculation (PBE) on a relaxed Ga2SbH crystal.

POSCAR file:
```
Ga2SbH
1.0
-1.551 -2.540 3.703
-3.778 -2.840 -0.483
0.554 -4.718 0.043
Ga H Sb
2 1 1
direct
0.750 0.750 0.750
0.250 0.250 0.250
0.000 0.000 0.000
0.500 0.500 0.500
```

Properties
Excess energy over the best structure of this formula in the dataset = 251 meV per atom
Space group = Fm-3m

---

VASP calculation (PBE) on a relaxed KNa crystal.

POSCAR file:
```
KNa
1.0
4.612 -0.001 0.003
-0.009 6.824 0.169
-2.267 -3.101 6.682
Na K
2 2
direct
0.650 0.391 0.798
0.350 0.609 0.202
0.890 0.148 0.283
0.110 0.852 0.717
```

Properties
Formation energy = 0.020 eV/atom
Space group = P-1

---

VASP calculation (PBE) on a relaxed MgCrNi2Os crystal.

POSCAR file:
```
MgCrNi2Os
1.0
4.169 0.000 0.000
0.000 4.607 0.000
0.000 0.000 4.169
Os Cr Ni Mg
1 1 2 1
direct
0.500 0.500 0.500
0.000 0.000 0.000
0.500 0.000 0.000
0.000 0.000 0.500
0.000 0.500 0.000
```

Properties
Formation energy = 1.571 eV/atom
Space group = P4/mmm

---

VASP calculation (PBE) on a relaxed HoPd6Au crystal.

POSCAR file:
```
HoPd6Au
1.0
4.107 0.000 0.000
0.000 5.707 -0.036
0.000 0.037 5.707
Au Pd Ho
1 6 1
direct
0.500 0.500 0.500
0.000 0.254 0.746
0.000 0.746 0.254
0.000 0.747 0.747
0.500 0.500 0.000
0.000 0.253 0.253
0.500 0.000 0.500
0.500 0.000 0.000
```

Properties
Excess energy over the best structure of this formula in the dataset = 0 meV per atom
Formation energy = -0.461 eV/atom
Space group = P4/mmm

---

VASP calculation (PBE) on a relaxed ErGa2Pt8 crystal.

POSCAR file:
```
ErGa2Pt8
1.0
-1.424 0.513 4.279
-4.703 -4.522 -2.487
6.393 -2.630 0.979
Pt Ga Er
8 2 1
direct
0.882 0.921 0.679
0.314 0.599 0.599
0.118 0.079 0.321
0.118 0.321 0.079
0.500 0.235 0.765
0.882 0.679 0.921
0.500 0.765 0.235
0.686 0.401 0.401
0.000 0.315 0.685
0.000 0.685 0.315
0.500 0.000 0.000
```

Properties
Formation energy = -0.508 eV/atom
Space group = C2/m